This record from Alexandria via LeMat-Bulk describes an optimized crystal structure of Co2AsIr. The functional is PBEsol.

Calculated values
- D(E_F) (states/eV/cell) = 6.9
- formation energy (kJ/mol of atoms) = 3.0

Lattice parameters (Å, degrees): 3.6325 2.7328 10.0667 90.00 90.00 90.00
Space group Amm2 (No. 38)
Asymmetric unit:
Co1 0.0000 0.0000 0.0000 x2
Co2 0.5000 0.0000 0.3621 x2
As1 0.5000 0.0000 0.5856 x2
Ir1 0.0000 0.0000 0.7468 x2



This record from Alexandria via LeMat-Bulk describes an optimized crystal structure of Co2AsIr. The functional is PBEsol.

Calculated values
- D(E_F) (states/eV/cell) = 12.6
- formation energy (kJ/mol of atoms) = 33.4

Lattice parameters (Å, degrees): 2.7407 4.6421 8.0680 90.00 90.00 90.00
Space group Cmmm (No. 65)
Asymmetric unit:
Co1 0.0000 0.0000 0.2367 x4
As1 0.0000 0.5000 0.0000 x2
Ir1 0.0000 0.5000 0.5000 x2



This record from Alexandria via LeMat-Bulk describes an optimized crystal structure of CoAsIr2. The functional is PBEsol.

Calculated values
- D(E_F) (states/eV/cell) = 9.5
- formation energy (kJ/mol of atoms) = 21.7

Lattice parameters (Å, degrees): 2.8135 4.3758 8.9651 90.00 90.00 90.00
Space group Immm (No. 71)
Asymmetric unit:
Co1 0.0000 0.0000 0.0000 x2
As1 0.0000 0.0000 0.5000 x2
Ir1 0.0000 0.5000 0.2267 x4



This record from Alexandria via LeMat-Bulk describes an optimized crystal structure of Co2AsIr. The functional is PBEsol.

Calculated values
- D(E_F) (states/eV/cell) = 25.1
- formation energy (kJ/mol of atoms) = 38.9

Lattice parameters (Å, degrees): 3.5665 3.5665 16.9689 90.00 90.00 90.00
Space group I-42d (No. 122)
Asymmetric unit:
Co1 0.2294 0.2500 0.1250 x8
As1 0.0000 0.0000 0.0000 x4
Ir1 0.0000 0.0000 0.5000 x4



This record from Alexandria via LeMat-Bulk describes an optimized crystal structure of CoAsIr2. The functional is PBEsol.

Calculated values
- D(E_F) (states/eV/cell) = 10.2
- formation energy (kJ/mol of atoms) = 23.6

Lattice parameters (Å, degrees): 3.7856 3.7856 7.4790 90.00 90.00 90.00
Space group I-4m2 (No. 119)
Asymmetric unit:
Co1 0.0000 0.0000 0.0000 x2
As1 0.0000 0.5000 0.7500 x2
Ir1 0.0000 0.0000 0.5000 x2
Ir2 0.0000 0.5000 0.2500 x2



This record from Alexandria via LeMat-Bulk describes an optimized crystal structure of CoAs2Ir. The functional is PBEsol.

Calculated values
- D(E_F) (states/eV/cell) = 8.5
- formation energy (kJ/mol of atoms) = 3.4

Lattice parameters (Å, degrees): 2.9235 2.9235 22.4171 90.00 90.00 120.00
Space group R-3m (No. 166, hexagonal axes)
Asymmetric unit:
Co1 0.0000 0.0000 0.0000 x3
As1 0.0000 0.0000 0.2562 x6
Ir1 0.0000 0.0000 0.5000 x3



This record from Alexandria via LeMat-Bulk describes an optimized crystal structure of CoAs4Ir. The functional is PBEsol.

Calculated values
- D(E_F) (states/eV/cell) = 27.4
- formation energy (kJ/mol of atoms) = 98.0

Lattice parameters (Å, degrees): 7.3938 7.3938 7.3938 90.00 90.00 90.00
Space group F-43m (No. 216)
Asymmetric unit:
Co1 0.0000 0.0000 0.0000 x4
As1 0.1257 0.1257 0.6256 x16
Ir1 0.2500 0.2500 0.2500 x4



This record from Alexandria via LeMat-Bulk describes an optimized crystal structure of KCo2As2. The functional is PBEsol.

Calculated values
- D(E_F) (states/eV/cell) = 3.3
- formation energy (kJ/mol of atoms) = -40.0

Lattice parameters (Å, degrees): 3.7142 3.7142 13.4748 90.00 90.00 90.00
Space group I4/mmm (No. 139)
Asymmetric unit:
K1 0.0000 0.0000 0.0000 x2
Co1 0.0000 0.5000 0.2500 x4
As1 0.0000 0.0000 0.3485 x4



This record from Alexandria via LeMat-Bulk describes an optimized crystal structure of KCoAs. The functional is PBEsol.

Calculated values
- D(E_F) (states/eV/cell) = 4.0
- formation energy (kJ/mol of atoms) = 2.6

Lattice parameters (Å, degrees): 3.1245 3.1245 11.9130 90.00 90.00 90.00
Space group I4mm (No. 107)
Asymmetric unit:
K1 0.0000 0.0000 0.0000 x2
Co1 0.0000 0.0000 0.7156 x2
As1 0.0000 0.0000 0.2859 x2



This record from Alexandria via LeMat-Bulk describes an optimized crystal structure of KCoMo2As. The functional is PBEsol.

Calculated values
- D(E_F) (states/eV/cell) = 9.0
- formation energy (kJ/mol of atoms) = 175.8

Lattice parameters (Å, degrees): 4.6418 4.6418 5.4289 90.00 90.00 90.00
Space group P4/mmm (No. 123)
Asymmetric unit:
K1 0.0000 0.0000 0.0000 x1
Co1 0.5000 0.5000 0.0000 x1
Mo1 0.0000 0.5000 0.5000 x2
As1 0.0000 0.0000 0.5000 x1



This record from Alexandria via LeMat-Bulk describes an optimized crystal structure of KY2CoAs. The functional is PBEsol.

Calculated values
- D(E_F) (states/eV/cell) = 5.0
- formation energy (kJ/mol of atoms) = 158.8

Lattice parameters (Å, degrees): 5.1095 5.1095 5.1235 90.00 90.00 90.00
Space group P4/mmm (No. 123)
Asymmetric unit:
K1 0.0000 0.0000 0.0000 x1
Y1 0.0000 0.5000 0.0000 x2
Co1 0.5000 0.5000 0.5000 x1
As1 0.0000 0.0000 0.5000 x1



This record from Alexandria via LeMat-Bulk describes an optimized crystal structure of LaCo2As2. The functional is PBEsol.

Calculated values
- D(E_F) (states/eV/cell) = 5.1
- formation energy (kJ/mol of atoms) = -77.4

Lattice parameters (Å, degrees): 4.0204 4.0204 10.2614 90.00 90.00 90.00
Space group I4/mmm (No. 139)
Asymmetric unit:
La1 0.0000 0.0000 0.0000 x2
Co1 0.0000 0.5000 0.2500 x4
As1 0.0000 0.0000 0.3627 x4



This record from Alexandria via LeMat-Bulk describes an optimized crystal structure of La3CoAs. The functional is PBEsol.

Calculated values
- D(E_F) (states/eV/cell) = 4.1
- formation energy (kJ/mol of atoms) = -39.9

Lattice parameters (Å, degrees): 5.1223 5.1223 5.1223 90.00 90.00 90.00
Space group Pm-3m (No. 221)
Asymmetric unit:
La1 0.0000 0.0000 0.5000 x3
Co1 0.0000 0.0000 0.0000 x1
As1 0.5000 0.5000 0.5000 x1



This record from Alexandria via LeMat-Bulk describes an optimized crystal structure of LaCoAs3. The functional is PBEsol.

Calculated values
- D(E_F) (states/eV/cell) = 6.0
- formation energy (kJ/mol of atoms) = -38.1

Lattice parameters (Å, degrees): 4.6357 4.6357 4.6357 90.00 90.00 90.00
Space group Pm-3m (No. 221)
Asymmetric unit:
La1 0.0000 0.0000 0.0000 x1
Co1 0.5000 0.5000 0.5000 x1
As1 0.0000 0.5000 0.5000 x3



This record from Alexandria via LeMat-Bulk describes an optimized crystal structure of LaCo2AsN. The functional is PBEsol.

Calculated values
- D(E_F) (states/eV/cell) = 13.2
- raw formation energy (eV/f.u.) = -4.137

Lattice parameters (Å, degrees): 3.7427 10.8993 6.8447 90.00 90.00 90.00
Space group Cmcm (No. 63)
Asymmetric unit:
La1 0.0000 0.0448 0.2500 x4
Co1 0.0000 0.3360 0.0532 x8
As1 0.0000 0.2288 0.7500 x4
N1 0.0000 0.5000 0.0000 x4



This record from Alexandria via LeMat-Bulk describes an optimized crystal structure of LaTiCoAs2. The functional is PBEsol.

Calculated values
- D(E_F) (states/eV/cell) = 8.9
- formation energy (kJ/mol of atoms) = 50.5

Lattice parameters (Å, degrees): 4.7550 4.7550 5.2155 90.00 90.00 90.00
Space group P4/mmm (No. 123)
Asymmetric unit:
La1 0.0000 0.0000 0.0000 x1
Ti1 0.0000 0.0000 0.5000 x1
Co1 0.5000 0.5000 0.0000 x1
As1 0.0000 0.5000 0.5000 x2



This record from Alexandria via LeMat-Bulk describes an optimized crystal structure of LiCoAs2. The functional is PBEsol.

Calculated values
- D(E_F) (states/eV/cell) = 5.6
- formation energy (kJ/mol of atoms) = -11.2

Lattice parameters (Å, degrees): 8.9707 2.9359 4.2610 90.00 95.58 90.00
Space group Cm (No. 8)
Asymmetric unit:
Li1 0.0000 0.0000 0.0000 x2
Co1 0.2713 0.5000 0.2968 x2
As1 0.2540 0.0000 0.8515 x2
As2 0.4775 0.0000 0.4844 x2



This record from Alexandria via LeMat-Bulk describes an optimized crystal structure of LiCoAs2. The functional is PBEsol.

Calculated values
- D(E_F) (states/eV/cell) = 3.2
- formation energy (kJ/mol of atoms) = -7.4

Lattice parameters (Å, degrees): 4.0905 2.9090 5.0193 90.00 113.23 90.00
Space group P2/m (No. 10)
Asymmetric unit:
Li1 0.0000 0.0000 0.0000 x1
Co1 0.5000 0.5000 0.5000 x1
As1 0.0000 0.0000 0.5000 x1
As2 0.5000 0.5000 0.0000 x1



This record from Alexandria via LeMat-Bulk describes an optimized crystal structure of LiCoAs2. The functional is PBEsol.

Calculated values
- D(E_F) (states/eV/cell) = 2.7
- formation energy (kJ/mol of atoms) = -20.3

Lattice parameters (Å, degrees): 4.2210 4.2395 5.9923 90.00 90.00 90.00
Space group Immm (No. 71)
Asymmetric unit:
Li1 0.0000 0.0000 0.0000 x2
Co1 0.0000 0.0000 0.5000 x2
As1 0.0000 0.5000 0.2497 x4



This record from Alexandria via LeMat-Bulk describes an optimized crystal structure of LiCoAs. The functional is PBEsol.

Calculated values
- D(E_F) (states/eV/cell) = 4.3
- formation energy (kJ/mol of atoms) = -50.5

Lattice parameters (Å, degrees): 3.6963 3.6963 6.0527 90.00 90.00 90.00
Space group P4/nmm (No. 129, origin choice 2)
Asymmetric unit:
Li1 0.2500 0.2500 0.1700 x2
Co1 0.2500 0.7500 0.5000 x2
As1 0.2500 0.2500 0.7306 x2



This record from Alexandria via LeMat-Bulk describes an optimized crystal structure of Mg2CoAs. The functional is PBEsol.

Calculated values
- D(E_F) (states/eV/cell) = 9.9
- formation energy (kJ/mol of atoms) = 13.8

Lattice parameters (Å, degrees): 2.9881 2.9881 25.5457 90.00 90.00 120.00
Space group R-3m (No. 166, hexagonal axes)
Asymmetric unit:
Mg1 0.0000 0.0000 0.2423 x6
Co1 0.0000 0.0000 0.5000 x3
As1 0.0000 0.0000 0.0000 x3



This record from Alexandria via LeMat-Bulk describes an optimized crystal structure of Mg3CoAs. The functional is PBEsol.

Calculated values
- D(E_F) (states/eV/cell) = 8.0
- formation energy (kJ/mol of atoms) = 59.5

Lattice parameters (Å, degrees): 4.9085 4.9085 4.9085 90.00 90.00 90.00
Space group Pm-3m (No. 221)
Asymmetric unit:
Mg1 0.0000 0.0000 0.5000 x3
Co1 0.5000 0.5000 0.5000 x1
As1 0.0000 0.0000 0.0000 x1



This record from Alexandria via LeMat-Bulk describes an optimized crystal structure of MgCoAs2Os. The functional is PBEsol.

Calculated values
- D(E_F) (states/eV/cell) = 5.3
- formation energy (kJ/mol of atoms) = 70.6

Lattice parameters (Å, degrees): 4.6784 4.6784 4.7275 90.00 90.00 90.00
Space group P4/mmm (No. 123)
Asymmetric unit:
Mg1 0.0000 0.0000 0.0000 x1
Co1 0.5000 0.5000 0.0000 x1
As1 0.0000 0.5000 0.5000 x2
Os1 0.5000 0.5000 0.5000 x1



This record from Alexandria via LeMat-Bulk describes an optimized crystal structure of CoMoAs2. The functional is PBEsol.

Calculated values
- D(E_F) (states/eV/cell) = 4.1
- formation energy (kJ/mol of atoms) = -9.5

Lattice parameters (Å, degrees): 3.2700 3.2700 5.2997 90.00 90.00 90.00
Space group P4mm (No. 99)
Asymmetric unit:
Co1 0.0000 0.0000 0.0000 x1
Mo1 0.5000 0.5000 0.3406 x1
As1 0.0000 0.0000 0.5329 x1
As2 0.5000 0.5000 0.8666 x1



This record from Alexandria via LeMat-Bulk describes an optimized crystal structure of CoMoAs2Se. The functional is PBEsol.

Calculated values
- D(E_F) (states/eV/cell) = 3.8
- raw formation energy (eV/f.u.) = 3.820

Lattice parameters (Å, degrees): 4.3792 4.3792 4.7199 90.00 90.00 90.00
Space group P4/mmm (No. 123)
Asymmetric unit:
Co1 0.0000 0.0000 0.0000 x1
Mo1 0.5000 0.5000 0.5000 x1
As1 0.0000 0.5000 0.0000 x2
Se1 0.0000 0.0000 0.5000 x1



This record from Alexandria via LeMat-Bulk describes an optimized crystal structure of CoAs3N. The functional is PBEsol.

Calculated values
- D(E_F) (states/eV/cell) = 3.3
- raw formation energy (eV/f.u.) = 4.150

Lattice parameters (Å, degrees): 4.1830 4.1830 4.1830 90.00 90.00 90.00
Space group Pm-3m (No. 221)
Asymmetric unit:
Co1 0.0000 0.0000 0.0000 x1
As1 0.0000 0.5000 0.5000 x3
N1 0.5000 0.5000 0.5000 x1



This record from Alexandria via LeMat-Bulk describes an optimized crystal structure of CoReAs2N. The functional is PBEsol.

Calculated values
- D(E_F) (states/eV/cell) = 3.7
- raw formation energy (eV/f.u.) = 9.701

Lattice parameters (Å, degrees): 4.1929 4.1929 4.8562 90.00 90.00 90.00
Space group P4/mmm (No. 123)
Asymmetric unit:
Co1 0.0000 0.0000 0.0000 x1
Re1 0.0000 0.0000 0.5000 x1
As1 0.0000 0.5000 0.0000 x2
N1 0.5000 0.5000 0.5000 x1



This record from Alexandria via LeMat-Bulk describes an optimized crystal structure of CoAsS2N. The functional is PBEsol.

Calculated values
- D(E_F) (states/eV/cell) = 5.2
- raw formation energy (eV/f.u.) = 5.654

Lattice parameters (Å, degrees): 4.7467 4.7467 3.5119 90.00 90.00 90.00
Space group P4/mmm (No. 123)
Asymmetric unit:
Co1 0.0000 0.0000 0.0000 x1
As1 0.5000 0.5000 0.5000 x1
S1 0.0000 0.5000 0.5000 x2
N1 0.5000 0.5000 0.0000 x1



This record from Alexandria via LeMat-Bulk describes an optimized crystal structure of CoAs2SeN. The functional is PBEsol.

Calculated values
- D(E_F) (states/eV/cell) = 2.1
- raw formation energy (eV/f.u.) = 4.475

Lattice parameters (Å, degrees): 4.2213 4.2213 4.1210 90.00 90.00 90.00
Space group P4/mmm (No. 123)
Asymmetric unit:
Co1 0.0000 0.0000 0.0000 x1
As1 0.0000 0.5000 0.5000 x2
Se1 0.5000 0.5000 0.0000 x1
N1 0.5000 0.5000 0.5000 x1